Entry 1:
Below is an optimized crystal structure of HfScP2Cl, with properties calculated at the PBE level.

For the distance to the lowest polymorph of the same formula, the calculation gives 367 meV/atom. The calculation puts the magnetization at 0.00 μB per cell. For the raw formation energy, the calculation gives -0.049 eV per atom. The uncorrected energy comes out at -5.839 eV per atom. The volume is 22.5 A^3/atom.

Lattice parameters (Å, degrees): 4.974 4.974 4.546 90.00 90.00 90.00
Space group P4/mmm (No. 123)
Symmetry-distinct sites (fractional):
Hf  0.000  0.000  0.000
Sc  0.500  0.500  0.500
P  0.000  0.500  0.500
Cl  0.500  0.500  0.000

Entry 2:
Below is an optimized crystal structure of HfPSeCl2, with properties calculated at the PBE level.

For the distance to the lowest polymorph of the same formula, the calculation gives 1078 meV/atom. The calculation puts the magnetization at 1.56 μB per cell. For the raw formation energy, the calculation gives 0.706 eV per atom. The uncorrected energy comes out at -3.802 eV per atom. The volume is 23.6 A^3/atom.

Lattice parameters (Å, degrees): 4.791 4.791 5.137 90.00 90.00 90.00
Space group P4/mmm (No. 123)
Symmetry-distinct sites (fractional):
Hf  0.000  0.000  0.000
P  0.500  0.500  0.000
Se  0.500  0.500  0.500
Cl  0.000  0.500  0.500

Entry 3:
Below is an optimized crystal structure of HfPSeCl2, with properties calculated at the PBE level.

For the distance to the lowest polymorph of the same formula, the calculation gives 0 meV/atom. The calculation puts the magnetization at 0.21 μB per cell. For the raw formation energy, the calculation gives -0.372 eV per atom. The uncorrected energy comes out at -4.880 eV per atom. The volume is 24.6 A^3/atom.

Lattice parameters (Å, degrees): 4.791 4.791 5.363 90.00 90.00 90.00
Space group P4/mmm (No. 123)
Symmetry-distinct sites (fractional):
Hf  0.000  0.000  0.000
P  0.000  0.000  0.500
Se  0.500  0.500  0.500
Cl  0.000  0.500  0.000

Entry 4:
Below is an optimized crystal structure of HfSi2PCl, with properties calculated at the PBE level.

The calculation puts the magnetization at 0.00 μB per cell. For the raw formation energy, the calculation gives 0.713 eV per atom. The uncorrected energy comes out at -4.898 eV per atom. The volume is 25.6 A^3/atom.

Lattice parameters (Å, degrees): 5.219 5.219 4.705 90.00 90.00 90.00
Space group P4/mmm (No. 123)
Symmetry-distinct sites (fractional):
Hf  0.000  0.000  0.000
Si  0.000  0.500  0.000
P  0.500  0.500  0.500
Cl  0.000  0.000  0.500

Entry 5:
Below is an optimized crystal structure of HfSnPCl2, with properties calculated at the PBE level.

For the distance to the lowest polymorph of the same formula, the calculation gives 0 meV/atom. The calculation puts the magnetization at 0.07 μB per cell. For the raw formation energy, the calculation gives -0.547 eV per atom. The uncorrected energy comes out at -5.158 eV per atom. The volume is 25.0 A^3/atom.

Lattice parameters (Å, degrees): 4.903 4.903 5.198 90.00 90.00 90.00
Space group P4/mmm (No. 123)
Symmetry-distinct sites (fractional):
Hf  0.000  0.000  0.000
Sn  0.500  0.500  0.500
P  0.000  0.000  0.500
Cl  0.000  0.500  0.000

Entry 6:
Below is an optimized crystal structure of HfSnPCl2, with properties calculated at the PBE level.

For the distance to the lowest polymorph of the same formula, the calculation gives 1024 meV/atom. The calculation puts the magnetization at 1.35 μB per cell. For the raw formation energy, the calculation gives 0.477 eV per atom. The uncorrected energy comes out at -4.135 eV per atom. The volume is 27.1 A^3/atom.

Lattice parameters (Å, degrees): 5.046 5.046 5.330 90.00 90.00 90.00
Space group P4/mmm (No. 123)
Symmetry-distinct sites (fractional):
Hf  0.000  0.000  0.000
Sn  0.500  0.500  0.500
P  0.500  0.500  0.000
Cl  0.000  0.500  0.500

Entry 7:
Below is an optimized crystal structure of SrHfPCl2, with properties calculated at the PBE level.

For the distance to the lowest polymorph of the same formula, the calculation gives 0 meV/atom. The calculation puts the magnetization at 0.00 μB per cell. For the raw formation energy, the calculation gives -1.235 eV per atom. The uncorrected energy comes out at -5.383 eV per atom. The volume is 25.2 A^3/atom.

Lattice parameters (Å, degrees): 4.941 4.941 5.168 90.00 90.00 90.00
Space group P4/mmm (No. 123)
Symmetry-distinct sites (fractional):
Sr  0.000  0.000  0.000
Hf  0.500  0.500  0.500
P  0.500  0.500  0.000
Cl  0.000  0.500  0.500

Entry 8:
Below is an optimized crystal structure of SrHfPCl2, with properties calculated at the PBE level.

For the distance to the lowest polymorph of the same formula, the calculation gives 1210 meV/atom. The calculation puts the magnetization at 0.94 μB per cell. For the raw formation energy, the calculation gives -0.026 eV per atom. The uncorrected energy comes out at -4.173 eV per atom. The volume is 33.1 A^3/atom.

Lattice parameters (Å, degrees): 5.166 5.166 6.207 90.00 90.00 90.00
Space group P4/mmm (No. 123)
Symmetry-distinct sites (fractional):
Sr  0.000  0.000  0.000
Hf  0.500  0.500  0.500
P  0.000  0.000  0.500
Cl  0.000  0.500  0.000

Entry 9:
Below is an optimized crystal structure of HfTaP2Cl, with properties calculated at the PBE level.

For the distance to the lowest polymorph of the same formula, the calculation gives 0 meV/atom. The calculation puts the magnetization at 0.74 μB per cell. For the raw formation energy, the calculation gives 0.293 eV per atom. The uncorrected energy comes out at -6.601 eV per atom. The volume is 21.6 A^3/atom.

Lattice parameters (Å, degrees): 4.866 4.866 4.562 90.00 90.00 90.00
Space group P4/mmm (No. 123)
Symmetry-distinct sites (fractional):
Hf  0.000  0.000  0.000
Ta  0.500  0.500  0.500
P  0.000  0.500  0.500
Cl  0.500  0.500  0.000

Entry 10:
Below is an optimized crystal structure of HfTaP2Cl, with properties calculated at the PBE level.

For the distance to the lowest polymorph of the same formula, the calculation gives 290 meV/atom. The calculation puts the magnetization at 2.48 μB per cell. For the raw formation energy, the calculation gives 0.584 eV per atom. The uncorrected energy comes out at -6.311 eV per atom. The volume is 23.4 A^3/atom.

Lattice parameters (Å, degrees): 5.000 5.000 4.680 90.00 90.00 90.00
Space group P4/mmm (No. 123)
Symmetry-distinct sites (fractional):
Hf  0.000  0.000  0.000
Ta  0.500  0.500  0.500
P  0.000  0.500  0.000
Cl  0.000  0.000  0.500

Entry 11:
Below is an optimized crystal structure of HfTcP2Cl, with properties calculated at the PBE level.

For the distance to the lowest polymorph of the same formula, the calculation gives 79 meV/atom. The calculation puts the magnetization at 4.44 μB per cell. For the raw formation energy, the calculation gives 0.538 eV per atom. The uncorrected energy comes out at -6.060 eV per atom. The volume is 24.3 A^3/atom.

Lattice parameters (Å, degrees): 5.028 5.028 4.810 90.00 90.00 90.00
Space group P4/mmm (No. 123)
Symmetry-distinct sites (fractional):
Hf  0.000  0.000  0.000
Tc  0.500  0.500  0.500
P  0.000  0.500  0.000
Cl  0.000  0.000  0.500

Entry 12:
Below is an optimized crystal structure of HfTcP2Cl, with properties calculated at the PBE level.

For the distance to the lowest polymorph of the same formula, the calculation gives 0 meV/atom. The calculation puts the magnetization at 0.00 μB per cell. For the raw formation energy, the calculation gives 0.459 eV per atom. The uncorrected energy comes out at -6.138 eV per atom. The volume is 19.8 A^3/atom.

Lattice parameters (Å, degrees): 4.578 4.578 4.726 90.00 90.00 90.00
Space group P4/mmm (No. 123)
Symmetry-distinct sites (fractional):
Hf  0.000  0.000  0.000
Tc  0.500  0.500  0.500
P  0.000  0.500  0.500
Cl  0.500  0.500  0.000

Entry 13:
Below is an optimized crystal structure of HfTeP2Cl, with properties calculated at the PBE level.

For the distance to the lowest polymorph of the same formula, the calculation gives 1022 meV/atom. The calculation puts the magnetization at 0.00 μB per cell. For the raw formation energy, the calculation gives 0.970 eV per atom. The uncorrected energy comes out at -4.182 eV per atom. The volume is 25.1 A^3/atom.

Lattice parameters (Å, degrees): 5.107 5.107 4.815 90.00 90.00 90.00
Space group P4/mmm (No. 123)
Symmetry-distinct sites (fractional):
Hf  0.000  0.000  0.000
Te  0.500  0.500  0.500
P  0.000  0.500  0.500
Cl  0.500  0.500  0.000

Entry 14:
Below is an optimized crystal structure of HfTeP2Cl, with properties calculated at the PBE level.

For the distance to the lowest polymorph of the same formula, the calculation gives 0 meV/atom. The calculation puts the magnetization at 0.00 μB per cell. For the raw formation energy, the calculation gives -0.052 eV per atom. The uncorrected energy comes out at -5.204 eV per atom. The volume is 25.0 A^3/atom.

Lattice parameters (Å, degrees): 5.120 5.120 4.776 90.00 90.00 90.00
Space group P4/mmm (No. 123)
Symmetry-distinct sites (fractional):
Hf  0.000  0.000  0.000
Te  0.500  0.500  0.500
P  0.000  0.500  0.000
Cl  0.000  0.000  0.500

Entry 15:
Below is an optimized crystal structure of HfTiP2Cl, with properties calculated at the PBE level.

For the distance to the lowest polymorph of the same formula, the calculation gives 216 meV/atom. The calculation puts the magnetization at 0.00 μB per cell. For the raw formation energy, the calculation gives 0.177 eV per atom. The uncorrected energy comes out at -5.926 eV per atom. The volume is 21.8 A^3/atom.

Lattice parameters (Å, degrees): 4.535 4.535 5.309 90.00 90.00 90.00
Space group P4/mmm (No. 123)
Symmetry-distinct sites (fractional):
Hf  0.000  0.000  0.000
Ti  0.000  0.000  0.500
P  0.000  0.500  0.500
Cl  0.500  0.500  0.000

Entry 16:
Below is an optimized crystal structure of HfTiP2Cl, with properties calculated at the PBE level.

For the distance to the lowest polymorph of the same formula, the calculation gives 142 meV/atom. The calculation puts the magnetization at 0.09 μB per cell. For the raw formation energy, the calculation gives 0.102 eV per atom. The uncorrected energy comes out at -6.001 eV per atom. The volume is 23.8 A^3/atom.

Lattice parameters (Å, degrees): 5.006 5.006 4.757 90.00 90.00 90.00
Space group P4/mmm (No. 123)
Symmetry-distinct sites (fractional):
Hf  0.000  0.000  0.000
Ti  0.500  0.500  0.500
P  0.000  0.500  0.000
Cl  0.000  0.000  0.500

Entry 17:
Below is an optimized crystal structure of HfTiP2Cl, with properties calculated at the PBE level.

For the distance to the lowest polymorph of the same formula, the calculation gives 0 meV/atom. The calculation puts the magnetization at 0.00 μB per cell. For the raw formation energy, the calculation gives -0.040 eV per atom. The uncorrected energy comes out at -6.143 eV per atom. The volume is 20.1 A^3/atom.

Lattice parameters (Å, degrees): 4.777 4.777 4.397 90.00 90.00 90.00
Space group P4/mmm (No. 123)
Symmetry-distinct sites (fractional):
Hf  0.000  0.000  0.000
Ti  0.500  0.500  0.500
P  0.000  0.500  0.500
Cl  0.500  0.500  0.000

Entry 18:
Below is an optimized crystal structure of HfTlPCl2, with properties calculated at the PBE level.

For the distance to the lowest polymorph of the same formula, the calculation gives 1469 meV/atom. The calculation puts the magnetization at 1.22 μB per cell. For the raw formation energy, the calculation gives 0.635 eV per atom. The uncorrected energy comes out at -3.650 eV per atom. The volume is 28.0 A^3/atom.

Lattice parameters (Å, degrees): 5.143 5.143 5.295 90.00 90.00 90.00
Space group P4/mmm (No. 123)
Symmetry-distinct sites (fractional):
Hf  0.000  0.000  0.000
Tl  0.500  0.500  0.500
P  0.500  0.500  0.000
Cl  0.000  0.500  0.500

Entry 19:
Below is an optimized crystal structure of HfTlP2Cl, with properties calculated at the PBE level.

For the distance to the lowest polymorph of the same formula, the calculation gives 0 meV/atom. The calculation puts the magnetization at 0.00 μB per cell. For the raw formation energy, the calculation gives -0.360 eV per atom. The uncorrected energy comes out at -5.357 eV per atom. The volume is 26.2 A^3/atom.

Lattice parameters (Å, degrees): 5.020 5.020 5.191 90.00 90.00 90.00
Space group P4/mmm (No. 123)
Symmetry-distinct sites (fractional):
Hf  0.000  0.000  0.000
Tl  0.500  0.500  0.500
P  0.000  0.500  0.000
Cl  0.000  0.000  0.500

Entry 20:
Below is an optimized crystal structure of HfTlP2Cl, with properties calculated at the PBE level.

For the distance to the lowest polymorph of the same formula, the calculation gives 1346 meV/atom. The calculation puts the magnetization at 0.00 μB per cell. For the raw formation energy, the calculation gives 0.986 eV per atom. The uncorrected energy comes out at -4.011 eV per atom. The volume is 25.4 A^3/atom.

Lattice parameters (Å, degrees): 5.027 5.027 5.017 90.00 90.00 90.00
Space group P4/mmm (No. 123)
Symmetry-distinct sites (fractional):
Hf  0.000  0.000  0.000
Tl  0.500  0.500  0.500
P  0.000  0.500  0.500
Cl  0.500  0.500  0.000